This record from Alexandria describes a geometry-optimized Ca2AlZn3Cu4 structure. The functional is PBE.

Cell: 4.2712 4.2712 9.9169 Å, 90.00 90.00 90.00°
Fractional positions:
1 Ca 0.5000 0.0000 0.2437
2 Ca 0.0000 0.5000 0.7563
3 Al 0.5000 0.5000 0.5000
4 Cu 0.5000 0.5000 0.0000
5 Cu 0.0000 0.5000 0.3705
6 Cu 0.5000 0.0000 0.6295
7 Cu 0.0000 0.0000 0.0000
8 Zn 0.5000 0.0000 0.8747
9 Zn 0.0000 0.5000 0.1253
10 Zn 0.0000 0.0000 0.5000

Results
symmetry = P-4m2
magnetization = 0.00 μB per cell
raw total energy = -0.2189 Ry/atom
ΔH_f (0 K) = -18 kJ/mol of atoms

This record from Alexandria describes a geometry-optimized CaAl2ZnCu2 structure. The functional is PBE.

Cell: 4.4933 4.4933 5.6344 Å, 90.00 90.00 90.00°
Fractional positions:
1 Zn 0.0000 0.0000 0.0000
2 Cu 0.0000 0.5000 0.0000
3 Cu 0.5000 0.0000 0.0000
4 Ca 0.0000 0.0000 0.5000
5 Al 0.5000 0.5000 0.7452
6 Al 0.5000 0.5000 0.2548

Results
symmetry = P4/mmm
magnetization = 0.00 μB per cell
raw total energy = -0.2343 Ry/atom
ΔH_f (0 K) = -3 kJ/mol of atoms

This record from Alexandria describes a geometry-optimized CaAlZn6Cu structure. The functional is PBE.

Cell: 6.7762 8.9882 7.8455 Å, 124.95 115.59 90.00°
Fractional positions:
1 Al 0.0000 0.0000 0.5000
2 Al 0.5000 0.0000 0.5000
3 Zn 0.9332 0.6228 0.2487
4 Zn 0.9879 0.2379 0.9757
5 Zn 0.4247 0.1747 0.8493
6 Zn 0.0668 0.8740 0.7513
7 Zn 0.5753 0.8253 0.1507
8 Zn 0.3155 0.6228 0.2487
9 Zn 0.6845 0.8740 0.7513
10 Zn 0.0668 0.3772 0.7513
11 Zn 0.9332 0.1260 0.2487
12 Zn 0.3155 0.1260 0.2487
13 Zn 0.0121 0.7621 0.0243
14 Zn 0.6845 0.3772 0.7513
15 Ca 0.7017 0.4517 0.4034
16 Ca 0.2983 0.5483 0.5966
17 Cu 0.5000 0.5000 0.0000
18 Cu 0.5000 0.0000 0.0000

Results
symmetry = Imma
magnetization = 0.00 μB per cell
raw total energy = -0.1396 Ry/atom
ΔH_f (0 K) = 4 kJ/mol of atoms

This record from Alexandria describes a geometry-optimized CaAlZnCu structure. The functional is PBE.

Cell: 4.6637 4.6637 4.6637 Å, 60.00 60.00 60.00°
Fractional positions:
1 Zn 0.2500 0.2500 0.2500
2 Al 0.0000 0.0000 0.0000
3 Ca 0.5000 0.5000 0.5000
4 Cu 0.7500 0.7500 0.7500

Results
energy above the lowest structure with this stoichiometry = 9.0 kJ per mole of atoms
symmetry = F-43m
magnetization = 0.00 μB per cell
raw total energy = -0.2158 Ry/atom
ΔH_f (0 K) = -15 kJ/mol of atoms

- Look up the ΔH_f (0 K) of the third one.
  4 kJ/mol of atoms

- Which value of ΔH_f (0 K) does entry 3 give?
  4 kJ/mol of atoms